LaY3Sc4O12 | Alexandria via LeMat-Bulk | GGA-PBEsol | optimized geometry; DFT total energy = -9.3488 eV/atom; formation energy without anion corrections = -71.75 eV/f.u.; symmetry = No. 6; total moment = 0.00 μB per atom
1.0
5.456 0.001 0.000
-0.001 5.717 0.000
0.000 0.000 7.916
La Y Sc O
1 3 4 12
Cartesian
2.658 2.559 3.958
0.120 5.366 3.958
2.839 3.240 0.000
5.359 0.342 0.000
2.721 0.016 5.966
0.011 2.861 1.941
2.721 0.016 1.950
0.011 2.861 5.975
3.430 0.210 3.958
4.911 3.170 3.958
2.011 5.404 0.000
0.727 2.512 0.000
4.372 4.585 6.504
3.769 1.762 1.437
1.009 1.081 2.473
1.640 4.023 5.483
1.009 1.081 5.443
1.640 4.023 2.433
4.372 4.585 1.412
3.769 1.762 6.478

=====

LaSe2O | Alexandria via LeMat-Bulk | GGA-PBEsol | optimized geometry; DFT total energy = -5.1507 eV/atom; formation energy without anion corrections = -2.31 eV/f.u.; symmetry = No. 122; total moment = 0.00 μB per atom
1.0
-3.668 -3.071 -2.346
3.554 -1.409 -3.711
2.033 -3.120 6.955
O Se La
2 4 2
Cartesian
-0.846 -4.215 0.790
-0.057 -2.240 -3.029
1.811 -3.525 -2.664
-0.938 -3.634 -1.430
1.928 -3.066 4.023
1.035 -4.974 1.867
2.765 -3.385 0.108
0.000 0.000 0.000

=====

La2Se2O | Alexandria via LeMat-Bulk | GGA-PBEsol | optimized geometry; DFT total energy = -7.3045 eV/atom; formation energy without anion corrections = -12.88 eV/f.u.; symmetry = No. 62; energy above the lowest structure with this stoichiometry = 0.0055 eV per atom; total moment = 0.00 μB per atom
1.0
4.143 0.000 0.000
0.000 7.280 0.000
0.000 0.000 16.221
La Se O
8 8 4
Cartesian
1.036 5.102 0.587
1.036 1.889 2.744
3.108 5.529 5.366
3.108 1.462 7.523
1.036 5.817 8.697
1.036 1.751 10.854
3.108 5.391 13.477
3.108 2.177 15.634
3.108 0.046 1.714
3.108 3.984 2.791
1.036 0.345 5.319
1.036 3.686 6.396
3.108 3.593 9.825
3.108 6.935 10.902
1.036 3.295 13.429
1.036 7.233 14.507
1.036 2.686 0.537
3.108 6.325 7.573
1.036 0.954 8.648
3.108 4.594 15.683